The following is a PBE calculation of an optimized crystal structure of Pr5DyAs6, from Alexandria.

* symmetry: No. 12
* N(E_F): 1.043 states/eV/cell
* E_form: -1.500 eV per atom

Lattice parameters (Å, degrees): 7.4105 7.4119 7.4101 59.99 80.39 70.50
Positions (direct):
Pr 0.5000 0.1678 0.6644
Pr 0.0000 0.3337 0.3326
Pr 0.5000 0.5000 0.0000
Pr 0.0000 0.6663 0.6674
Pr 0.5000 0.8322 0.3356
As 0.7541 0.0818 0.3274
As 0.2459 0.5907 0.3274
As 0.2468 0.2450 0.0000
As 0.7532 0.7550 0.0000
As 0.7541 0.4093 0.6726
As 0.2459 0.9182 0.6726
Dy 0.0000 0.0000 0.0000